Compound: Rb2Zn2Pd
Source: Alexandria
Functional: PBE-GGA
Structure: relaxed

Unit cell a=7.0768 b=7.0768 c=5.8164 alpha=90.00 beta=90.00 gamma=90.00
Atoms (fractional coordinates):
Pd  0.0000  0.0000  0.0000
Rb  0.8206  0.3206  0.5000
Zn  0.8418  0.6582  0.0000
Zn  0.6582  0.1582  0.0000
Zn  0.3418  0.8418  0.0000
Zn  0.1582  0.3418  0.0000
Rb  0.6794  0.8206  0.5000
Rb  0.3206  0.1794  0.5000
Pd  0.5000  0.5000  0.0000
Rb  0.1794  0.6794  0.5000

---

Compound: RbZn3Pd
Source: Alexandria
Functional: PBE-GGA
Structure: relaxed

Unit cell a=6.2293 b=6.2293 c=6.2293 alpha=90.00 beta=90.00 gamma=90.00
Atoms (fractional coordinates):
Pd  0.5000  0.5000  0.5000
Zn  0.0000  0.0000  0.5000
Rb  0.0000  0.0000  0.0000
Zn  0.5000  0.0000  0.0000
Zn  0.0000  0.5000  0.0000

---

Compound: RbZnPd2
Source: Alexandria
Functional: PBE-GGA
Structure: relaxed

Unit cell a=5.2228 b=5.2228 c=9.2610 alpha=73.62 beta=73.62 gamma=90.00
Atoms (fractional coordinates):
Pd  0.3260  0.6250  0.2500
Zn  0.5000  0.5000  0.0000
Pd  0.4240  0.1250  0.2500
Rb  0.7500  0.2500  0.5000
Pd  0.8750  0.6740  0.7500
Rb  0.0000  0.0000  0.0000
Pd  0.3750  0.5760  0.7500
Zn  0.2500  0.7500  0.5000

---

Compound: RbZn3Pd
Source: Alexandria
Functional: PBE-GGA
Structure: relaxed

Unit cell a=5.0083 b=5.0083 c=5.0083 alpha=90.00 beta=90.00 gamma=90.00
Atoms (fractional coordinates):
Pd  0.0000  0.0000  0.0000
Zn  0.5000  0.0000  0.0000
Zn  0.0000  0.5000  0.0000
Zn  0.0000  0.0000  0.5000
Rb  0.5000  0.5000  0.5000

---

Compound: RbZnPd3
Source: Alexandria
Functional: PBE-GGA
Structure: relaxed

Unit cell a=5.1765 b=5.1765 c=5.1765 alpha=90.00 beta=90.00 gamma=90.00
Atoms (fractional coordinates):
Pd  0.0000  0.5000  0.0000
Pd  0.0000  0.0000  0.5000
Zn  0.5000  0.5000  0.5000
Rb  0.0000  0.0000  0.0000
Pd  0.5000  0.0000  0.0000

---

Compound: RbZr2Pd
Source: Alexandria
Functional: PBE-GGA
Structure: relaxed

Unit cell a=5.0072 b=5.0072 c=5.0072 alpha=60.00 beta=60.00 gamma=60.00
Atoms (fractional coordinates):
Zr  0.7500  0.7500  0.7500
Pd  0.5000  0.5000  0.5000
Rb  0.0000  0.0000  0.0000
Zr  0.2500  0.2500  0.2500

---

Per-record DFT total energy, eV per atom: -1.86; -0.77; -3.11; -2.14; -2.14; -5.09